(1)
DyY5Er2Tm | PBE-GGA | relaxed

Properties
E	-49.12	eV/f.u.
space-group type	Cmc2_1, No. 36
calculated formation energy	156	meV per atom

```
DyY5Er2Tm
1.0
5.576 -0.001 0.000
-2.790 9.972 0.000
0.000 0.000 10.522
Y Tm Er Dy
10 2 4 2
direct
0.983 0.966 0.521 Y
0.699 0.399 0.205 Y
0.385 0.771 0.023 Y
0.279 0.558 0.314 Y
0.520 0.040 0.238 Y
0.480 0.960 0.738 Y
0.017 0.034 0.021 Y
0.301 0.601 0.705 Y
0.615 0.229 0.523 Y
0.721 0.442 0.814 Y
0.412 0.824 0.455 Tm
0.588 0.176 0.955 Tm
0.888 0.776 0.815 Er
0.112 0.224 0.315 Er
0.890 0.780 0.238 Er
0.110 0.220 0.738 Er
0.197 0.393 0.013 Dy
0.803 0.607 0.513 Dy
```

***

(2)
Dy2Y6ErTm2 | PBE-GGA | relaxed

Properties
E	-59.86	eV/f.u.
space-group type	Cmmm, No. 65
calculated formation energy	148	meV per atom

```
Dy2Y6ErTm2
1.0
-1.705 -3.320 -5.472
-1.785 -1.025 6.296
-4.759 10.715 -2.122
Dy Y Tm Er
2 6 2 1
direct
0.865 0.135 0.000 Dy
0.135 0.865 0.000 Dy
0.860 0.554 0.208 Y
0.294 0.294 0.294 Y
0.446 0.140 0.792 Y
0.140 0.446 0.792 Y
0.554 0.860 0.208 Y
0.706 0.706 0.706 Y
0.705 0.295 0.500 Tm
0.295 0.705 0.500 Tm
0.000 0.000 0.500 Er
```

***

(3)
Dy6YErTm2 | PBE-GGA | relaxed

Properties
E	-46.40	eV/f.u.
space-group type	C2/c, No. 15
calculated formation energy	118	meV per atom

```
Dy6YErTm2
1.0
1.034 2.127 -9.178
-8.730 0.175 -0.365
4.151 7.196 2.713
Y Dy Er Tm
2 12 2 4
direct
0.250 0.977 0.023 Y
0.750 0.023 0.977 Y
0.620 0.497 0.710 Dy
0.120 0.710 0.497 Dy
0.880 0.290 0.503 Dy
0.945 0.874 0.247 Dy
0.185 0.568 0.018 Dy
0.445 0.247 0.874 Dy
0.315 0.982 0.432 Dy
0.815 0.432 0.982 Dy
0.055 0.126 0.753 Dy
0.380 0.503 0.290 Dy
0.555 0.753 0.126 Dy
0.685 0.018 0.568 Dy
0.250 0.410 0.590 Er
0.750 0.590 0.410 Er
0.544 0.197 0.306 Tm
0.456 0.803 0.694 Tm
0.044 0.306 0.197 Tm
0.956 0.694 0.803 Tm
```

***

(4)
Dy6YEr2Tm | PBE-GGA | relaxed

Properties
E	-46.50	eV/f.u.
space-group type	C2/c, No. 15
calculated formation energy	117	meV per atom

```
Dy6YEr2Tm
1.0
-4.650 -4.770 -6.743
-0.877 -6.382 5.914
-5.775 6.565 0.132
Er Tm Dy Y
4 2 12 2
direct
0.544 0.198 0.306 Er
0.456 0.802 0.694 Er
0.044 0.306 0.198 Er
0.956 0.694 0.802 Er
0.250 0.410 0.590 Tm
0.750 0.590 0.410 Tm
0.381 0.503 0.289 Dy
0.881 0.289 0.503 Dy
0.814 0.432 0.982 Dy
0.055 0.126 0.753 Dy
0.686 0.018 0.568 Dy
0.314 0.982 0.432 Dy
0.186 0.568 0.018 Dy
0.945 0.874 0.247 Dy
0.555 0.753 0.126 Dy
0.119 0.711 0.497 Dy
0.619 0.497 0.711 Dy
0.445 0.247 0.874 Dy
0.750 0.023 0.977 Y
0.250 0.977 0.023 Y
```

***

(5)
DyYEr2Tm5 | PBE-GGA | relaxed

Properties
E	-41.05	eV/f.u.
space-group type	Cmc2_1, No. 36
calculated formation energy	167	meV per atom

```
DyYEr2Tm5
1.0
5.532 0.000 0.000
-2.766 9.807 0.000
0.000 0.000 10.458
Er Tm Dy Y
4 10 2 2
direct
0.890 0.781 0.237 Er
0.112 0.225 0.318 Er
0.888 0.775 0.818 Er
0.110 0.219 0.737 Er
0.018 0.036 0.026 Tm
0.300 0.601 0.710 Tm
0.700 0.399 0.210 Tm
0.609 0.219 0.523 Tm
0.478 0.957 0.737 Tm
0.522 0.043 0.237 Tm
0.281 0.562 0.308 Tm
0.719 0.438 0.808 Tm
0.982 0.964 0.526 Tm
0.391 0.781 0.023 Tm
0.200 0.400 0.012 Dy
0.800 0.600 0.512 Dy
0.586 0.172 0.954 Y
0.414 0.828 0.454 Y
```

***

(6)
Dy3YEr6Tm2 | PBE-GGA | relaxed

Properties
E	-56.32	eV/f.u.
space-group type	C2/m, No. 12
calculated formation energy	23	meV per atom

```
Dy3YEr6Tm2
1.0
6.090 0.003 -0.004
-3.041 5.276 -0.004
-1.005 -1.741 11.483
Er Tm Dy Y
6 2 3 1
direct
0.083 0.418 0.249 Er
0.917 0.582 0.751 Er
0.418 0.083 0.249 Er
0.749 0.749 0.249 Er
0.582 0.917 0.751 Er
0.251 0.251 0.751 Er
0.333 0.667 0.000 Tm
0.667 0.333 0.000 Tm
0.500 0.500 0.500 Dy
0.167 0.833 0.500 Dy
0.833 0.167 0.500 Dy
0.000 0.000 0.000 Y
```

***

(7)
Dy2YEr6Tm | PBE-GGA | relaxed

Properties
E	-46.34	eV/f.u.
space-group type	C2/c, No. 15
calculated formation energy	117	meV per atom

```
Dy2YEr6Tm
1.0
2.144 2.427 -8.892
-3.456 -7.652 -2.293
-5.365 6.752 1.178
Er Y Dy Tm
12 2 4 2
direct
0.119 0.711 0.498 Er
0.314 0.981 0.429 Er
0.943 0.872 0.250 Er
0.686 0.019 0.571 Er
0.557 0.750 0.128 Er
0.814 0.429 0.981 Er
0.443 0.250 0.872 Er
0.186 0.571 0.019 Er
0.619 0.498 0.711 Er
0.881 0.289 0.502 Er
0.381 0.502 0.289 Er
0.057 0.128 0.750 Er
0.750 0.022 0.978 Y
0.250 0.978 0.022 Y
0.044 0.305 0.197 Dy
0.544 0.197 0.305 Dy
0.956 0.695 0.803 Dy
0.456 0.803 0.695 Dy
0.250 0.409 0.591 Tm
0.750 0.591 0.409 Tm
```

***

(8)
Dy4Y2Er2Tm | PBE-GGA | relaxed

Properties
E	-44.89	eV/f.u.
space-group type	C2/m, No. 12
calculated formation energy	5	meV per atom

```
Dy4Y2Er2Tm
1.0
-3.117 1.467 0.939
2.614 -4.003 8.145
3.573 8.620 -1.604
Dy Er Y Tm
4 2 2 1
direct
0.185 0.370 0.333 Dy
0.482 0.963 0.668 Dy
0.518 0.037 0.332 Dy
0.815 0.630 0.667 Dy
0.667 0.333 0.001 Er
0.333 0.667 0.999 Er
0.852 0.704 0.333 Y
0.148 0.296 0.667 Y
0.000 0.000 0.000 Tm
```